No. 1
Entry from Alexandria: a relaxed structure of NaCaRh4 (PBE). Values from VASP.

Summary:
Volume: 17.680 Å³ per atom
VASP energy: -5.567 eV per atom
ΔH_f (0 K): -0.112 eV per atom

```
&SYSTEM
  ibrav = 0, nat = 6, ntyp = 3
/
ATOMIC_SPECIES
Na 22.99 Na.upf
Ca 40.08 Ca.upf
Rh 102.91 Rh.upf
ATOMIC_POSITIONS angstrom
Na 0.0000 0.0000 0.0000
Ca 1.8786 1.8786 1.8786
Rh 4.6973 2.8172 2.8172
Rh 2.8172 4.6973 2.8172
Rh 2.8172 2.8172 4.6973
Rh 4.6973 4.6973 4.6973
CELL_PARAMETERS angstrom
0.0000 3.7573 3.7573
3.7573 0.0000 3.7573
3.7573 3.7573 0.0000
```

No. 2
Entry from Alexandria: a relaxed structure of NaCa6Rh (PBE). Values from VASP.

Summary:
Volume: 39.808 Å³ per atom
VASP energy: -2.678 eV per atom
ΔH_f (0 K): -0.093 eV per atom

```
&SYSTEM
  ibrav = 0, nat = 16, ntyp = 3
/
ATOMIC_SPECIES
Na 22.99 Na.upf
Ca 40.08 Ca.upf
Rh 102.91 Rh.upf
ATOMIC_POSITIONS angstrom
Na 0.0000 0.0000 0.0000
Na 4.4480 5.3623 0.0000
Ca -0.6364 3.4050 5.2042
Ca -0.6364 7.3196 5.2042
Ca 0.8212 0.0000 3.9307
Ca 1.6908 5.3623 2.7453
Ca 3.1485 1.9573 1.4717
Ca 3.1485 8.7673 1.4717
Ca 3.8116 1.9573 5.2042
Ca 3.8116 8.7673 5.2042
Ca 5.2693 5.3623 3.9307
Ca 6.1389 0.0000 2.7453
Ca 7.5965 3.4050 1.4717
Ca 7.5965 7.3196 1.4717
Rh -0.9680 5.3623 3.3380
Rh 3.4800 0.0000 3.3380
CELL_PARAMETERS angstrom
8.8960 0.0000 0.0000
0.0000 10.7246 0.0000
-1.9359 0.0000 6.6759
```

No. 3
Entry from Alexandria: a relaxed structure of Na2CaRh (PBE). Values from VASP.

Summary:
Volume: 24.829 Å³ per atom
VASP energy: -2.810 eV per atom
ΔH_f (0 K): 0.187 eV per atom

```
&SYSTEM
  ibrav = 0, nat = 16, ntyp = 3
/
ATOMIC_SPECIES
Na 22.99 Na.upf
Ca 40.08 Ca.upf
Rh 102.91 Rh.upf
ATOMIC_POSITIONS angstrom
Na 0.9179 1.0390 2.8753
Na 1.0390 2.9958 8.6258
Na 1.0390 3.2380 20.1268
Na 1.1601 1.0390 14.3763
Na 2.9958 3.1169 14.3763
Na 3.1169 0.9179 20.1268
Na 3.1169 1.1601 8.6258
Na 3.2380 3.1169 2.8753
Ca 0.0000 0.0000 11.5010
Ca 0.0000 2.0779 17.2515
Ca 2.0779 0.0000 5.7505
Ca 2.0779 2.0779 0.0000
Rh 0.0000 0.0000 0.0000
Rh 0.0000 2.0779 5.7505
Rh 2.0779 0.0000 17.2515
Rh 2.0779 2.0779 11.5010
CELL_PARAMETERS angstrom
4.1559 0.0000 0.0000
0.0000 4.1559 0.0000
0.0000 0.0000 23.0020
```

No. 4
Entry from Alexandria: a relaxed structure of NaCa2SbRh (PBE). Values from VASP.

Summary:
Volume: 31.090 Å³ per atom
Formation energy from raw total energies: -0.40 eV/atom
VASP energy: -3.757 eV per atom

```
&SYSTEM
  ibrav = 0, nat = 5, ntyp = 4
/
ATOMIC_SPECIES
Na 22.99 Na.upf
Ca 40.08 Ca.upf
Sb 121.76 Sb.upf
Rh 102.91 Rh.upf
ATOMIC_POSITIONS angstrom
Na 0.0000 0.0000 0.0000
Ca 0.0000 2.7732 2.5266
Ca 2.7732 0.0000 2.5266
Sb 2.7732 2.7732 0.0000
Rh 2.7732 2.7732 2.5266
CELL_PARAMETERS angstrom
5.5464 0.0000 0.0000
0.0000 5.5464 0.0000
0.0000 0.0000 5.0532
```

No. 5
Entry from Alexandria: a relaxed structure of NaCa2ScRh (PBE). Values from VASP.

Summary:
Volume: 32.116 Å³ per atom
VASP energy: -3.987 eV per atom
ΔH_f (0 K): -0.186 eV per atom

```
&SYSTEM
  ibrav = 0, nat = 5, ntyp = 4
/
ATOMIC_SPECIES
Na 22.99 Na.upf
Ca 40.08 Ca.upf
Sc 44.96 Sc.upf
Rh 102.91 Rh.upf
ATOMIC_POSITIONS angstrom
Na 0.0000 0.0000 0.0000
Ca 0.0000 2.8384 2.4915
Ca 2.8384 0.0000 2.4915
Sc 2.8384 2.8384 0.0000
Rh 2.8384 2.8384 2.4915
CELL_PARAMETERS angstrom
5.6768 0.0000 0.0000
0.0000 5.6768 0.0000
0.0000 0.0000 4.9829
```

No. 6
Entry from Alexandria: a relaxed structure of NaCa2RhSe (PBE). Values from VASP.

Summary:
Volume: 30.130 Å³ per atom
Formation energy from raw total energies: -0.27 eV/atom
VASP energy: -3.498 eV per atom

```
&SYSTEM
  ibrav = 0, nat = 5, ntyp = 4
/
ATOMIC_SPECIES
Na 22.99 Na.upf
Ca 40.08 Ca.upf
Rh 102.91 Rh.upf
Se 78.96 Se.upf
ATOMIC_POSITIONS angstrom
Na 0.0000 0.0000 0.0000
Ca 0.0000 2.7320 2.5230
Ca 2.7320 0.0000 2.5230
Rh 2.7320 2.7320 0.0000
Se 0.0000 0.0000 2.5230
CELL_PARAMETERS angstrom
5.4640 0.0000 0.0000
0.0000 5.4640 0.0000
0.0000 0.0000 5.0460
```

No. 7
Entry from Alexandria: a relaxed structure of NaCa2SnRh (PBE). Values from VASP.

Summary:
Volume: 31.273 Å³ per atom
VASP energy: -3.693 eV per atom
ΔH_f (0 K): -0.358 eV per atom

```
&SYSTEM
  ibrav = 0, nat = 5, ntyp = 4
/
ATOMIC_SPECIES
Na 22.99 Na.upf
Ca 40.08 Ca.upf
Sn 118.71 Sn.upf
Rh 102.91 Rh.upf
ATOMIC_POSITIONS angstrom
Na 0.0000 0.0000 0.0000
Ca 0.0000 2.7601 2.5656
Ca 2.7601 0.0000 2.5656
Sn 2.7601 2.7601 0.0000
Rh 2.7601 2.7601 2.5656
CELL_PARAMETERS angstrom
5.5202 0.0000 0.0000
0.0000 5.5202 0.0000
0.0000 0.0000 5.1312
```

No. 8
Entry from Alexandria: a relaxed structure of NaCaSnRh (PBE). Values from VASP.

Summary:
Volume: 20.892 Å³ per atom
VASP energy: -3.982 eV per atom
ΔH_f (0 K): -0.314 eV per atom

```
&SYSTEM
  ibrav = 0, nat = 16, ntyp = 4
/
ATOMIC_SPECIES
Na 22.99 Na.upf
Ca 40.08 Ca.upf
Sn 118.71 Sn.upf
Rh 102.91 Rh.upf
ATOMIC_POSITIONS angstrom
Na 0.0000 0.0000 0.0000
Na 0.0000 3.4701 3.4701
Na 3.4701 0.0000 3.4701
Na 3.4701 3.4701 0.0000
Ca 1.7350 1.7350 1.7350
Ca 1.7350 5.2051 5.2051
Ca 5.2051 1.7350 5.2051
Ca 5.2051 5.2051 1.7350
Sn 1.7350 1.7350 5.2051
Sn 1.7350 5.2051 1.7350
Sn 5.2051 1.7350 1.7350
Sn 5.2051 5.2051 5.2051
Rh 0.0000 0.0000 3.4701
Rh 0.0000 3.4701 0.0000
Rh 3.4701 0.0000 0.0000
Rh 3.4701 3.4701 3.4701
CELL_PARAMETERS angstrom
6.9402 0.0000 0.0000
0.0000 6.9402 0.0000
0.0000 0.0000 6.9402
```

No. 9
Entry from Alexandria: a relaxed structure of NaSrCa2Rh (PBE). Values from VASP.

Summary:
Volume: 35.423 Å³ per atom
VASP energy: -2.912 eV per atom
ΔH_f (0 K): -0.041 eV per atom

```
&SYSTEM
  ibrav = 0, nat = 5, ntyp = 4
/
ATOMIC_SPECIES
Na 22.99 Na.upf
Sr 87.62 Sr.upf
Ca 40.08 Ca.upf
Rh 102.91 Rh.upf
ATOMIC_POSITIONS angstrom
Na 0.0000 0.0000 0.0000
Sr 2.7374 2.7374 0.0000
Ca 0.0000 2.7374 2.9545
Ca 2.7374 0.0000 2.9545
Rh 0.0000 0.0000 2.9545
CELL_PARAMETERS angstrom
5.4748 0.0000 0.0000
0.0000 5.4748 0.0000
0.0000 0.0000 5.9090
```

No. 10
Entry from Alexandria: a relaxed structure of NaSr2CaRh (PBE). Values from VASP.

Summary:
Volume: 39.315 Å³ per atom
VASP energy: -2.974 eV per atom
ΔH_f (0 K): -0.166 eV per atom

```
&SYSTEM
  ibrav = 0, nat = 5, ntyp = 4
/
ATOMIC_SPECIES
Na 22.99 Na.upf
Sr 87.62 Sr.upf
Ca 40.08 Ca.upf
Rh 102.91 Rh.upf
ATOMIC_POSITIONS angstrom
Na 0.0000 0.0000 0.0000
Sr 0.0000 2.9639 2.7971
Sr 2.9639 0.0000 2.7971
Ca 2.9639 2.9639 0.0000
Rh 2.9639 2.9639 2.7971
CELL_PARAMETERS angstrom
5.9277 0.0000 0.0000
0.0000 5.9277 0.0000
0.0000 0.0000 5.5943
```

No. 11
Entry from Alexandria: a relaxed structure of NaSr2CaRh (PBE). Values from VASP.

Summary:
Volume: 38.737 Å³ per atom
VASP energy: -2.750 eV per atom
ΔH_f (0 K): 0.057 eV per atom

```
&SYSTEM
  ibrav = 0, nat = 5, ntyp = 4
/
ATOMIC_SPECIES
Na 22.99 Na.upf
Sr 87.62 Sr.upf
Ca 40.08 Ca.upf
Rh 102.91 Rh.upf
ATOMIC_POSITIONS angstrom
Na 0.0000 0.0000 0.0000
Sr 0.0000 2.8829 2.9129
Sr 2.8829 0.0000 2.9129
Ca 2.8829 2.8829 0.0000
Rh 0.0000 0.0000 2.9129
CELL_PARAMETERS angstrom
5.7659 0.0000 0.0000
0.0000 5.7659 0.0000
0.0000 0.0000 5.8259
```

No. 12
Entry from Alexandria: a relaxed structure of NaSrCa2Rh (PBE). Values from VASP.

Summary:
Volume: 37.080 Å³ per atom
VASP energy: -3.054 eV per atom
ΔH_f (0 K): -0.183 eV per atom

```
&SYSTEM
  ibrav = 0, nat = 5, ntyp = 4
/
ATOMIC_SPECIES
Na 22.99 Na.upf
Sr 87.62 Sr.upf
Ca 40.08 Ca.upf
Rh 102.91 Rh.upf
ATOMIC_POSITIONS angstrom
Na 0.0000 0.0000 0.0000
Sr 2.8009 2.8009 0.0000
Ca 0.0000 2.8009 2.9541
Ca 2.8009 0.0000 2.9541
Rh 2.8009 2.8009 2.9541
CELL_PARAMETERS angstrom
5.6018 0.0000 0.0000
0.0000 5.6018 0.0000
0.0000 0.0000 5.9081
```

No. 13
Entry from Alexandria: a relaxed structure of NaCaVRh2 (PBE). Values from VASP.

Summary:
Volume: 19.758 Å³ per atom
VASP energy: -4.018 eV per atom
ΔH_f (0 K): 1.410 eV per atom

```
&SYSTEM
  ibrav = 0, nat = 5, ntyp = 4
/
ATOMIC_SPECIES
Na 22.99 Na.upf
Ca 40.08 Ca.upf
V 50.94 V.upf
Rh 102.91 Rh.upf
ATOMIC_POSITIONS angstrom
Na 0.0000 0.0000 0.0000
Ca 0.0000 0.0000 2.2530
V 2.3412 2.3412 2.2530
Rh 0.0000 2.3412 0.0000
Rh 2.3412 0.0000 0.0000
CELL_PARAMETERS angstrom
4.6824 0.0000 0.0000
0.0000 4.6824 0.0000
0.0000 0.0000 4.5060
```

No. 14
Entry from Alexandria: a relaxed structure of NaCa2ZrRh (PBE). Values from VASP.

Summary:
Volume: 27.142 Å³ per atom
VASP energy: -3.315 eV per atom
ΔH_f (0 K): 0.929 eV per atom

```
&SYSTEM
  ibrav = 0, nat = 5, ntyp = 4
/
ATOMIC_SPECIES
Na 22.99 Na.upf
Ca 40.08 Ca.upf
Zr 91.22 Zr.upf
Rh 102.91 Rh.upf
ATOMIC_POSITIONS angstrom
Na 0.0000 0.0000 0.0000
Ca 0.0000 2.6583 0.0000
Ca 2.6583 0.0000 0.0000
Zr 2.6583 2.6583 2.4006
Rh 0.0000 0.0000 2.4006
CELL_PARAMETERS angstrom
5.3165 0.0000 0.0000
0.0000 5.3165 0.0000
0.0000 0.0000 4.8013
```

No. 15
Entry from Alexandria: a relaxed structure of NaCa2Ru (PBE). Values from VASP.

Summary:
Volume: 24.459 Å³ per atom
VASP energy: -3.353 eV per atom
ΔH_f (0 K): 0.297 eV per atom

```
&SYSTEM
  ibrav = 0, nat = 16, ntyp = 3
/
ATOMIC_SPECIES
Na 22.99 Na.upf
Ca 40.08 Ca.upf
Ru 101.07 Ru.upf
ATOMIC_POSITIONS angstrom
Na 0.0000 0.0000 0.0000
Na 0.0000 3.6573 3.6573
Na 3.6573 0.0000 3.6573
Na 3.6573 3.6573 0.0000
Ca 1.8286 1.8286 1.8286
Ca 1.8286 1.8286 5.4859
Ca 1.8286 5.4859 1.8286
Ca 1.8286 5.4859 5.4859
Ca 5.4859 1.8286 1.8286
Ca 5.4859 1.8286 5.4859
Ca 5.4859 5.4859 1.8286
Ca 5.4859 5.4859 5.4859
Ru 0.0000 0.0000 3.6573
Ru 0.0000 3.6573 0.0000
Ru 3.6573 0.0000 0.0000
Ru 3.6573 3.6573 3.6573
CELL_PARAMETERS angstrom
7.3146 0.0000 0.0000
0.0000 7.3146 0.0000
0.0000 0.0000 7.3146
```

No. 16
Entry from Alexandria: a relaxed structure of NaCa2Ru2 (PBE). Values from VASP.

Summary:
Volume: 23.875 Å³ per atom
VASP energy: -4.358 eV per atom
ΔH_f (0 K): 0.416 eV per atom

```
&SYSTEM
  ibrav = 0, nat = 10, ntyp = 3
/
ATOMIC_SPECIES
Na 22.99 Na.upf
Ca 40.08 Ca.upf
Ru 101.07 Ru.upf
ATOMIC_POSITIONS angstrom
Na 0.0000 0.0000 0.0000
Na 4.2826 4.2826 0.0000
Ca 1.5986 2.6840 1.6272
Ca 2.6840 6.9666 1.6272
Ca 5.8812 1.5986 1.6272
Ca 6.9666 5.8812 1.6272
Ru 0.8201 5.1027 0.0000
Ru 3.4625 0.8201 0.0000
Ru 5.1027 7.7451 0.0000
Ru 7.7451 3.4625 0.0000
CELL_PARAMETERS angstrom
8.5652 0.0000 0.0000
0.0000 8.5652 0.0000
0.0000 0.0000 3.2544
```

No. 17
Entry from Alexandria: a relaxed structure of NaCa2Ru (PBE). Values from VASP.

Summary:
Volume: 28.431 Å³ per atom
VASP energy: -3.509 eV per atom
ΔH_f (0 K): 0.140 eV per atom

```
&SYSTEM
  ibrav = 0, nat = 4, ntyp = 3
/
ATOMIC_SPECIES
Na 22.99 Na.upf
Ca 40.08 Ca.upf
Ru 101.07 Ru.upf
ATOMIC_POSITIONS angstrom
Na 0.0000 0.0000 0.0000
Ca 1.7425 1.7425 3.0410
Ca 1.7425 1.7425 6.3228
Ru 0.0000 0.0000 4.6819
CELL_PARAMETERS angstrom
3.4849 0.0000 0.0000
0.0000 3.4849 0.0000
0.0000 0.0000 9.3639
```

No. 18
Entry from Alexandria: a relaxed structure of NaCa3Ru (PBE). Values from VASP.

Summary:
Volume: 34.493 Å³ per atom
VASP energy: -3.183 eV per atom
ΔH_f (0 K): 0.137 eV per atom

```
&SYSTEM
  ibrav = 0, nat = 5, ntyp = 3
/
ATOMIC_SPECIES
Na 22.99 Na.upf
Ca 40.08 Ca.upf
Ru 101.07 Ru.upf
ATOMIC_POSITIONS angstrom
Na 0.0000 0.0000 0.0000
Ca 0.0000 2.7831 2.7831
Ca 2.7831 0.0000 2.7831
Ca 2.7831 2.7831 0.0000
Ru 2.7831 2.7831 2.7831
CELL_PARAMETERS angstrom
5.5663 0.0000 0.0000
0.0000 5.5663 0.0000
0.0000 0.0000 5.5663
```

No. 19
Entry from Alexandria: a relaxed structure of NaCa2Ru (PBE). Values from VASP.

Summary:
Volume: 45.940 Å³ per atom
VASP energy: -2.937 eV per atom
ΔH_f (0 K): 0.713 eV per atom

```
&SYSTEM
  ibrav = 0, nat = 16, ntyp = 3
/
ATOMIC_SPECIES
Na 22.99 Na.upf
Ca 40.08 Ca.upf
Ru 101.07 Ru.upf
ATOMIC_POSITIONS angstrom
Na 0.0000 0.0000 0.0000
Na 0.0000 4.0106 2.8560
Na 4.0106 0.0000 8.5680
Na 4.0106 4.0106 5.7120
Ca 0.0213 2.0053 7.1400
Ca 2.0053 4.0319 9.9961
Ca 2.0053 8.0000 4.2840
Ca 3.9893 2.0053 1.4280
Ca 4.0319 6.0160 1.4280
Ca 6.0160 0.0213 4.2840
Ca 6.0160 3.9893 9.9961
Ca 8.0000 6.0160 7.1400
Ru 0.0000 0.0000 5.7120
Ru 0.0000 4.0106 8.5680
Ru 4.0106 0.0000 2.8560
Ru 4.0106 4.0106 0.0000
CELL_PARAMETERS angstrom
8.0213 0.0000 0.0000
0.0000 8.0213 0.0000
0.0000 0.0000 11.4241
```

No. 20
Entry from Alexandria: a relaxed structure of NaCa4Ru (PBE). Values from VASP.

Summary:
Volume: 34.002 Å³ per atom
VASP energy: -3.062 eV per atom
ΔH_f (0 K): 0.038 eV per atom

```
&SYSTEM
  ibrav = 0, nat = 12, ntyp = 3
/
ATOMIC_SPECIES
Na 22.99 Na.upf
Ca 40.08 Ca.upf
Ru 101.07 Ru.upf
ATOMIC_POSITIONS angstrom
Na 3.2860 5.1960 4.6495
Na 4.3197 -5.1960 1.5498
Ca 0.5960 1.0738 5.4620
Ca 2.9374 2.1939 2.7665
Ca 1.6297 -1.0738 2.3623
Ca 5.7019 2.1939 0.3332
Ca 1.9037 -2.1939 5.8662
Ca 5.9759 1.0738 3.8371
Ca 4.6682 -2.1939 3.4329
Ca 7.0096 -1.0738 0.7374
Ru 3.2860 0.0072 4.6495
Ru 4.3197 -0.0072 1.5498
CELL_PARAMETERS angstrom
4.8365 -6.8042 0.0000
4.8365 6.8042 0.0000
-2.0674 0.0000 6.1994
```